(1)
Material: Tb5PmTh2
Method: DFT, GGA-PBE
State: optimized geometry

Calculated values
ΔE_f: 0.10 eV per atom
space group: Immm, No. 71
V: 32.974 A^3/atom

POSCAR file:
```
Tb5PmTh2
1.0
3.5355 0.0000 0.0000
1.7677 8.6979 -0.0790
1.7677 1.5203 8.5644
Tb Th Pm
5 2 1
Direct
0.6313 0.5991 0.1384
0.6313 0.1384 0.5991
0.3687 0.4009 0.8616
0.3687 0.8616 0.4009
0.0000 0.5000 0.5000
0.7392 0.7608 0.7608
0.2608 0.2392 0.2392
0.0000 0.0000 0.0000
```



(2)
Material: TbPmTh
Method: DFT, GGA-PBE
State: optimized geometry

Calculated values
ΔE_f: 0.03 eV per atom
space group: I4mm, No. 107
V: 32.955 A^3/atom

POSCAR file:
```
TbPmTh
1.0
-3.1406 1.5294 -0.9142
-0.8532 -2.9172 -1.9493
-1.2881 -2.4129 7.5190
Th Pm Tb
1 1 1
Direct
0.6654 0.6654 0.3308
0.3268 0.3268 0.6537
0.0078 0.0078 0.0155
```



(3)
Material: Tb2Pm3Th2
Method: DFT, GGA-PBE
State: optimized geometry

Calculated values
ΔE_f: 0.04 eV per atom
space group: C2/m, No. 12
V: 33.076 A^3/atom

POSCAR file:
```
Tb2Pm3Th2
1.0
3.5800 0.3215 0.4022
0.9594 11.8070 -1.7331
1.2929 -1.4246 5.9051
Pm Tb Th
3 2 2
Direct
0.4339 0.4232 0.7084
0.0000 0.0000 0.0000
0.5661 0.5768 0.2916
0.7077 0.7181 0.8663
0.2923 0.2819 0.1337
0.8552 0.8609 0.4282
0.1448 0.1391 0.5718
```



(4)
Material: Tb2PmTh
Method: DFT, GGA-PBE
State: optimized geometry

Calculated values
ΔE_f: 0.01 eV per atom
space group: R3m, No. 160
V: 32.614 A^3/atom

POSCAR file:
```
Tb2PmTh
1.0
3.6057 0.0000 0.0000
1.8029 3.1226 0.0000
1.8029 1.0409 11.5864
Tb Th Pm
2 1 1
Direct
0.0809 0.0809 0.7574
0.2522 0.2522 0.2433
0.6665 0.6665 0.0006
0.5004 0.5004 0.4988
```



Question: Among the records above, which one has the lowest V?
Answer: Tb2PmTh



Question: Which value of V does entry 3 give?
Answer: 33.076 A^3/atom



Question: What is the V in the first record?
Answer: 32.974 A^3/atom